The following is a PBE calculation of Rb2YCuF6 after structural relaxation, from Alexandria.

a b c (Å): 6.153 6.153 9.544
angles (deg): 90.00 90.00 90.00
Space group I4/mmm (No. 139)
One atom of each set of equivalent atoms:
Rb  0.000  0.500  0.250 (multiplicity 4)
Y  0.000  0.000  0.000 (multiplicity 2)
Cu  0.000  0.000  0.500 (multiplicity 2)
F  0.000  0.000  0.228 (multiplicity 4)
F  0.249  0.249  0.500 (multiplicity 8)

## Properties
* crystal system: tetragonal
* magnetic moment: 0.0 μB per formula unit
* formation energy (no corrections): -29.0 eV/f.u.
* D(E_F): 0.00 states/eV/cell


The following is a PBE calculation of Rb2YCu3F12 after structural relaxation, from Alexandria.

a b c (Å): 7.4701 7.4701 18.1104
angles (deg): 90.00 90.00 120.00
Space group R-3m (No. 166, hexagonal axes)
One atom of each set of equivalent atoms:
Rb  0.0000  0.0000  0.1130 (multiplicity 6)
Y  0.0000  0.0000  0.5000 (multiplicity 3)
Cu  0.0000  0.5000  0.0000 (multiplicity 9)
F  0.0307  0.5154  0.1101 (multiplicity 18)
F  0.0746  0.5373  0.3389 (multiplicity 18)

## Properties
* crystal system: trigonal
* magnetic moment: 3.5 μB per formula unit
* formation energy (no corrections): -42.9 eV/f.u.
* D(E_F): 14.88 states/eV/cell


The following is a PBE calculation of Rb4Zn3CuF12 after structural relaxation, from Alexandria.

a b c (Å): 8.358 8.358 8.358
angles (deg): 90.00 90.00 90.00
Space group Im-3m (No. 229)
One atom of each set of equivalent atoms:
Rb  0.250  0.250  0.250 (multiplicity 8)
Zn  0.000  0.000  0.500 (multiplicity 6)
Cu  0.000  0.000  0.000 (multiplicity 2)
F  0.000  0.000  0.250 (multiplicity 12)
F  0.000  0.250  0.500 (multiplicity 12)

## Properties
* crystal system: cubic
* magnetic moment: 1.0 μB per formula unit
* formation energy (no corrections): -48.2 eV/f.u.
* D(E_F): 13.18 states/eV/cell


Question: Which of these has the lowest magnetic moment?
Answer: Rb2YCuF6